! Rb3HoO3 SCAN PBEsol geometry; values from VASP
&SYSTEM
  ibrav = 0, nat = 28, ntyp = 3
/
ATOMIC_SPECIES
Rb 85.47 Rb.upf
Ho 164.93 Ho.upf
O 16.00 O.upf
CELL_PARAMETERS angstrom
-4.521 0.422 5.598
6.417 -7.286 5.731
3.627 6.611 2.431
ATOMIC_POSITIONS angstrom
Rb 1.995 -3.838 7.250
Rb 5.724 -1.232 10.774
Rb 4.369 -3.047 3.783
Rb 1.577 -0.719 5.993
Rb 2.493 4.203 3.114
Rb 3.285 0.134 3.352
Rb 2.240 -0.386 10.408
Rb 3.032 -4.455 10.646
Rb 3.947 0.467 7.768
Rb 1.155 2.795 9.978
Rb -0.200 0.979 2.987
Rb 3.530 3.586 6.510
Ho -2.179 -0.906 6.073
Ho 5.107 -2.579 7.442
Ho 0.418 2.326 6.319
Ho 7.703 0.654 7.688
O -0.564 -2.088 6.656
O 5.094 -4.674 6.733
O 1.104 -1.353 2.160
O 3.730 -2.310 8.993
O -1.332 1.111 5.749
O 4.280 -1.471 5.881
O 1.244 1.218 7.879
O 6.857 -1.364 8.012
O 1.794 2.058 4.768
O 4.420 1.100 11.601
O 0.430 4.421 7.027
O 6.088 1.835 7.104
! space-group type: P2_1/c (14)
! polymorph energy (0 for the lowest one): 0.10 eV/f.u.

***

! Li4Hg5 SCAN PBEsol geometry; values from VASP
&SYSTEM
  ibrav = 0, nat = 18, ntyp = 2
/
ATOMIC_SPECIES
Hg 200.59 Hg.upf
Li 6.94 Li.upf
CELL_PARAMETERS angstrom
5.724 0.000 0.000
0.000 8.176 0.000
0.000 -4.088 7.080
ATOMIC_POSITIONS angstrom
Hg 4.293 -2.886 4.998
Hg 4.293 5.771 0.000
Hg 4.293 1.202 2.083
Hg 1.431 -1.202 2.083
Hg 1.431 2.405 0.000
Hg 1.431 2.886 4.998
Hg 0.000 0.000 4.720
Hg 2.862 4.088 2.360
Hg 0.000 4.088 2.360
Hg 2.862 0.000 4.720
Li 0.000 0.000 0.000
Li 2.862 0.000 0.000
Li 4.293 -1.486 2.573
Li 4.293 2.972 0.000
Li 4.293 2.602 4.507
Li 1.431 -2.602 4.507
Li 1.431 5.204 0.000
Li 1.431 1.486 2.573
! space-group type: P6_3/mcm (193)
! energy of formation: -0.3648 eV/atom

***

! ScFeAu4 SCAN PBEsol geometry; values from VASP
&SYSTEM
  ibrav = 0, nat = 6, ntyp = 3
/
ATOMIC_SPECIES
Au 196.97 Au.upf
Fe 55.84 Fe.upf
Sc 44.96 Sc.upf
CELL_PARAMETERS angstrom
5.337 0.000 0.000
2.669 4.622 0.000
2.669 1.541 4.358
ATOMIC_POSITIONS angstrom
Au 4.006 2.313 1.635
Au 5.337 3.081 3.809
Au 6.668 2.313 1.635
Au 5.337 4.618 1.635
Fe 8.006 4.622 3.268
Sc 0.000 0.000 0.000
! space-group type: F-43m (216)
! energy of formation: -0.1157 eV/atom

***

| no. | total energy (eV per atom) |
| --- | --- |
| 1 | -20.682 |
| 2 | -39.297 |
| 3 | -51.615 |